Entry from Alexandria via LeMat-Bulk: crystalline Cs2Pm2PtO6 at its relaxed geometry (PBE-GGA).

```
Cs2Pm2PtO6
1.0
6.0091 0.0053 0.1071
-2.9655 5.2265 0.1071
-1.0260 -1.7636 6.9261
Cs O Pt Pm
2 6 1 2
direct
0.1644 0.8356 0.0000
0.8356 0.1644 0.0000
0.7503 0.7503 0.6597
0.0447 0.3491 0.6559
0.3491 0.0447 0.6559
0.6509 0.9553 0.3441
0.9553 0.6509 0.3441
0.2497 0.2497 0.3403
0.0000 0.0000 0.5000
0.6649 0.3351 0.5000
0.3351 0.6649 0.5000
```

The value obtained for the total energy is -6.256 eV per atom. Its formation energy (no corrections) is -1.9836 eV/atom. As for the space group: C2/m. For the size of the total moment, the calculation gives 0.0 μB per cell. As for the crystal system: monoclinic.